Run 1
# PBE-GGA CoSe2Br, relaxed
data_CoSe2Br
_chemical_formula_sum 'Co1 Se2 Br1'
_space_group_name_H-M_alt 'P 1'
_space_group_IT_number 1
_cell_length_a 3.587
_cell_length_b 6.901
_cell_length_c 4.586
_cell_angle_alpha 76.04
_cell_angle_beta 103.80
_cell_angle_gamma 104.19
loop_
_space_group_symop_operation_xyz
'x,y,z'
loop_
_atom_site_label
_atom_site_type_symbol
_atom_site_fract_x
_atom_site_fract_y
_atom_site_fract_z
Co1 Co 0.081 0.233 0.763
Br1 Br 0.496 0.979 0.857
Se1 Se 0.644 0.463 0.618
Se2 Se 0.119 0.348 0.220
# **Crystal system**: triclinic
# **Symmetry**: No. 1

***

Run 2
# PBE-GGA CoSe2Br, relaxed
data_CoSe2Br
_chemical_formula_sum 'Co4 Se8 Br4'
_space_group_name_H-M_alt 'P 1'
_space_group_IT_number 1
_cell_length_a 16.946
_cell_length_b 5.241
_cell_length_c 6.777
_cell_angle_alpha 90.00
_cell_angle_beta 139.62
_cell_angle_gamma 90.00
loop_
_space_group_symop_operation_xyz
'x,y,z'
loop_
_atom_site_label
_atom_site_type_symbol
_atom_site_fract_x
_atom_site_fract_y
_atom_site_fract_z
Co1 Co 0.610 0.331 0.559
Co2 Co 0.390 0.669 0.441
Co3 Co 0.890 0.831 0.941
Co4 Co 0.110 0.169 0.059
Se1 Se 0.954 0.867 0.743
Se2 Se 0.046 0.133 0.257
Se3 Se 0.546 0.367 0.757
Se4 Se 0.454 0.633 0.243
Se5 Se 0.021 0.571 0.357
Se6 Se 0.979 0.429 0.643
Se7 Se 0.479 0.071 0.143
Se8 Se 0.521 0.929 0.857
Br1 Br 0.240 0.987 0.055
Br2 Br 0.760 0.013 0.945
Br3 Br 0.260 0.487 0.445
Br4 Br 0.740 0.513 0.555
# **Crystal system**: monoclinic
# **Symmetry**: No. 14

***

Which structure is the least stable? The one labeled run 2.

***

Run 1
# PBE-GGA TcOs, relaxed
data_TcOs
_chemical_formula_sum 'Tc2 Os2'
_space_group_name_H-M_alt 'P 1'
_space_group_IT_number 1
_cell_length_a 3.892
_cell_length_b 3.892
_cell_length_c 5.184
_cell_angle_alpha 90.00
_cell_angle_beta 90.00
_cell_angle_gamma 120.00
loop_
_space_group_symop_operation_xyz
'x,y,z'
loop_
_atom_site_label
_atom_site_type_symbol
_atom_site_fract_x
_atom_site_fract_y
_atom_site_fract_z
Os1 Os 0.333 0.667 0.250
Os2 Os 0.667 0.333 0.750
Tc1 Tc 0.000 0.000 0.000
Tc2 Tc 0.000 0.000 0.500
# **Crystal system**: hexagonal
# **Symmetry**: No. 194

***

Run 2
# PBE-GGA TcOs, relaxed
data_TcOs
_chemical_formula_sum 'Tc2 Os2'
_space_group_name_H-M_alt 'P 1'
_space_group_IT_number 1
_cell_length_a 3.886
_cell_length_b 3.886
_cell_length_c 5.210
_cell_angle_alpha 90.00
_cell_angle_beta 90.00
_cell_angle_gamma 120.00
loop_
_space_group_symop_operation_xyz
'x,y,z'
loop_
_atom_site_label
_atom_site_type_symbol
_atom_site_fract_x
_atom_site_fract_y
_atom_site_fract_z
Os1 Os 0.000 0.000 0.000
Os2 Os 0.000 0.000 0.500
Tc1 Tc 0.333 0.667 0.250
Tc2 Tc 0.667 0.333 0.750
# **Crystal system**: hexagonal
# **Symmetry**: No. 194

***

Which structure is the least stable? The one labeled run 1.

***

Run 1
# PBE-GGA AlTl2Mo, relaxed
data_AlTl2Mo
_chemical_formula_sum 'Al1 Tl2 Mo1'
_space_group_name_H-M_alt 'P 1'
_space_group_IT_number 1
_cell_length_a 3.042
_cell_length_b 3.042
_cell_length_c 9.604
_cell_angle_alpha 90.00
_cell_angle_beta 90.00
_cell_angle_gamma 98.36
loop_
_space_group_symop_operation_xyz
'x,y,z'
loop_
_atom_site_label
_atom_site_type_symbol
_atom_site_fract_x
_atom_site_fract_y
_atom_site_fract_z
Tl1 Tl 0.000 0.000 0.962
Tl2 Tl 0.500 0.500 0.279
Mo1 Mo 0.500 0.500 0.719
Al1 Al 0.000 0.000 0.540
# **Crystal system**: orthorhombic
# **Symmetry**: No. 35

***

Run 2
# PBE-GGA AlTl2Mo, relaxed
data_AlTl2Mo
_chemical_formula_sum 'Al1 Tl2 Mo1'
_space_group_name_H-M_alt 'P 1'
_space_group_IT_number 1
_cell_length_a 5.712
_cell_length_b 5.712
_cell_length_c 5.712
_cell_angle_alpha 143.44
_cell_angle_beta 131.55
_cell_angle_gamma 62.19
loop_
_space_group_symop_operation_xyz
'x,y,z'
loop_
_atom_site_label
_atom_site_type_symbol
_atom_site_fract_x
_atom_site_fract_y
_atom_site_fract_z
Tl1 Tl 0.016 0.016 0.000
Tl2 Tl 0.743 0.243 0.500
Mo1 Mo 0.272 0.772 0.500
Al1 Al 0.469 0.469 0.000
# **Crystal system**: orthorhombic
# **Symmetry**: No. 44

***

Which structure is the least stable? The one labeled run 2.

***

Run 1
# PBE-GGA Zn2SiTe, relaxed
data_Zn2SiTe
_chemical_formula_sum 'Zn2 Si1 Te1'
_space_group_name_H-M_alt 'P 1'
_space_group_IT_number 1
_cell_length_a 4.831
_cell_length_b 4.831
_cell_length_c 4.831
_cell_angle_alpha 60.00
_cell_angle_beta 60.00
_cell_angle_gamma 60.00
loop_
_space_group_symop_operation_xyz
'x,y,z'
loop_
_atom_site_label
_atom_site_type_symbol
_atom_site_fract_x
_atom_site_fract_y
_atom_site_fract_z
Si1 Si 0.500 0.500 0.500
Te1 Te 0.750 0.750 0.750
Zn1 Zn 0.000 0.000 0.000
Zn2 Zn 0.250 0.250 0.250
# **Crystal system**: cubic
# **Symmetry**: No. 216

***

Run 2
# PBE-GGA Zn2SiTe, relaxed
data_Zn2SiTe
_chemical_formula_sum 'Zn2 Si1 Te1'
_space_group_name_H-M_alt 'P 1'
_space_group_IT_number 1
_cell_length_a 3.664
_cell_length_b 3.664
_cell_length_c 5.860
_cell_angle_alpha 90.00
_cell_angle_beta 90.00
_cell_angle_gamma 90.00
loop_
_space_group_symop_operation_xyz
'x,y,z'
loop_
_atom_site_label
_atom_site_type_symbol
_atom_site_fract_x
_atom_site_fract_y
_atom_site_fract_z
Si1 Si 0.500 0.500 0.250
Te1 Te 0.500 0.500 0.750
Zn1 Zn 0.000 0.000 0.030
Zn2 Zn 0.000 0.000 0.470
# **Crystal system**: tetragonal
# **Symmetry**: No. 123

***

Which structure is the least stable? The one labeled run 1.